Below is PrCu6Ni6 after structural relaxation, with properties calculated at the GGA-PBE level.

Cell: 4.793 6.396 6.396 Å, 81.97 67.99 67.99°
Fractional positions:
Cu1 0.725 0.775 0.775
Cu2 0.275 0.225 0.225
Cu3 0.000 0.647 0.353
Cu4 0.000 0.353 0.647
Cu5 0.356 0.644 0.644
Cu6 0.644 0.356 0.356
Ni1 0.500 0.228 0.772
Ni2 0.500 0.772 0.228
Ni3 0.000 0.500 0.000
Ni4 0.000 0.000 0.500
Ni5 0.500 0.000 0.500
Ni6 0.500 0.500 0.000
Pr1 0.000 0.000 0.000

energy of formation from the pure elements	-96	meV/atom
SG	Immm (71)